Entry 1:
! TbHfAgRu | Alexandria | PBE-GGA | relaxed; values from VASP
! Uncorrected energy ... -27.70 eV/f.u.
! SG ... No. 216
! Volume ... 321 Å³/cell
! Energy of formation ... -0.248 eV/atom
! M_tot ... 0.0 μB/f.u.
! DOS(E_F) ... 12.43 states/eV per cell
&SYSTEM
  ibrav = 0, nat = 16, ntyp = 4
/
ATOMIC_SPECIES
Tb 158.93 Tb.upf
Hf 178.49 Hf.upf
Ag 107.87 Ag.upf
Ru 101.07 Ru.upf
ATOMIC_POSITIONS crystal
Tb 0.000 0.000 0.000
Tb 0.000 0.500 0.500
Tb 0.500 0.000 0.500
Tb 0.500 0.500 0.000
Hf 0.000 0.000 0.500
Hf 0.000 0.500 0.000
Hf 0.500 0.000 0.000
Hf 0.500 0.500 0.500
Ag 0.250 0.250 0.750
Ag 0.250 0.750 0.250
Ag 0.750 0.250 0.250
Ag 0.750 0.750 0.750
Ru 0.250 0.250 0.250
Ru 0.250 0.750 0.750
Ru 0.750 0.250 0.750
Ru 0.750 0.750 0.250
CELL_PARAMETERS angstrom
6.844 0.000 0.000
0.000 6.844 0.000
0.000 0.000 6.844

---

Entry 2:
! TbNdTh2 | Alexandria | PBE-GGA | relaxed; values from VASP
! Uncorrected energy ... -24.03 eV/f.u.
! SG ... No. 160
! Volume ... 394 Å³/cell
! Energy of formation ... 0.051 eV/atom
! M_tot ... 0.0 μB/f.u.
! DOS(E_F) ... 17.15 states/eV per cell
&SYSTEM
  ibrav = 0, nat = 12, ntyp = 3
/
ATOMIC_SPECIES
Tb 158.93 Tb.upf
Nd 144.24 Nd.upf
Th 232.04 Th.upf
ATOMIC_POSITIONS crystal
Tb 0.000 0.000 0.000
Tb 0.333 0.667 0.667
Tb 0.667 0.333 0.333
Nd 0.000 0.000 0.830
Nd 0.333 0.667 0.497
Nd 0.667 0.333 0.163
Th 0.000 0.000 0.414
Th 0.000 0.000 0.583
Th 0.333 0.667 0.081
Th 0.333 0.667 0.250
Th 0.667 0.333 0.747
Th 0.667 0.333 0.916
CELL_PARAMETERS angstrom
3.589 0.000 0.000
-1.795 3.108 0.000
0.000 0.000 35.289

---

Entry 3:
! Nd5Tl2Sn2 | Alexandria | PBE-GGA | relaxed; values from VASP
! Uncorrected energy ... -41.37 eV/f.u.
! SG ... No. 64
! Volume ... 575 Å³/cell
! Energy of formation ... -0.533 eV/atom
! M_tot ... 0.0 μB/f.u.
! DOS(E_F) ... 15.76 states/eV per cell
&SYSTEM
  ibrav = 0, nat = 18, ntyp = 3
/
ATOMIC_SPECIES
Nd 144.24 Nd.upf
Tl 204.38 Tl.upf
Sn 118.71 Sn.upf
ATOMIC_POSITIONS crystal
Nd 0.000 0.000 0.000
Nd 0.034 0.682 0.671
Nd 0.182 0.534 0.171
Nd 0.318 0.966 0.671
Nd 0.466 0.818 0.171
Nd 0.500 0.500 0.500
Nd 0.534 0.182 0.829
Nd 0.682 0.034 0.329
Nd 0.818 0.466 0.829
Nd 0.966 0.318 0.329
Tl 0.127 0.873 0.373
Tl 0.373 0.627 0.873
Tl 0.627 0.373 0.127
Tl 0.873 0.127 0.627
Sn 0.205 0.205 0.000
Sn 0.295 0.295 0.500
Sn 0.705 0.705 0.500
Sn 0.795 0.795 0.000
CELL_PARAMETERS angstrom
8.121 -4.226 0.000
8.121 4.226 0.000
0.000 0.000 8.374

---

Entry 4:
! Ce8SnBi5 | Alexandria | PBE-GGA | relaxed; values from VASP
! Uncorrected energy ... -80.19 eV/f.u.
! SG ... No. 82
! Volume ... 451 Å³/cell
! Energy of formation ... -0.665 eV/atom
! M_tot ... 12.9 μB/f.u.
! DOS(E_F) ... 55.06 states/eV per cell
&SYSTEM
  ibrav = 0, nat = 14, ntyp = 3
/
ATOMIC_SPECIES
Ce 140.12 Ce.upf
Sn 118.71 Sn.upf
Bi 208.98 Bi.upf
ATOMIC_POSITIONS crystal
Ce 0.126 0.380 0.106
Ce 0.127 0.380 0.600
Ce 0.275 0.020 0.894
Ce 0.473 0.873 0.253
Ce 0.620 0.221 0.747
Ce 0.620 0.725 0.746
Ce 0.779 0.527 0.400
Ce 0.980 0.874 0.254
Sn 0.250 0.750 0.500
Bi 0.376 0.250 0.373
Bi 0.500 0.500 0.000
Bi 0.750 0.123 0.126
Bi 0.877 0.003 0.627
Bi 0.997 0.624 0.874
CELL_PARAMETERS angstrom
-4.830 4.830 4.831
4.830 -4.830 4.831
4.830 4.830 -4.831

---

Entry 5:
! DyPuC | Alexandria | PBE-GGA | relaxed; values from VASP
! Uncorrected energy ... -28.41 eV/f.u.
! SG ... No. 156
! Volume ... 65 Å³/cell
! Energy of formation ... -0.083 eV/atom
! M_tot ... 5.5 μB/f.u.
! DOS(E_F) ... 8.03 states/eV per cell
&SYSTEM
  ibrav = 0, nat = 3, ntyp = 3
/
ATOMIC_SPECIES
Dy 162.50 Dy.upf
Pu 244.00 Pu.upf
C 12.01 C.upf
ATOMIC_POSITIONS crystal
Dy 0.000 0.000 0.000
Pu 0.333 0.667 0.552
C 0.667 0.333 0.773
CELL_PARAMETERS angstrom
3.466 0.000 0.000
-1.733 3.001 0.000
0.000 0.000 6.287

---

Entry 6:
! ReAg2Ru | Alexandria | PBE-GGA | relaxed; values from VASP
! Uncorrected energy ... -24.75 eV/f.u.
! SG ... No. 47
! Volume ... 64 Å³/cell
! Energy of formation ... 0.670 eV/atom
! M_tot ... 0.0 μB/f.u.
! DOS(E_F) ... 4.07 states/eV per cell
&SYSTEM
  ibrav = 0, nat = 4, ntyp = 3
/
ATOMIC_SPECIES
Re 186.21 Re.upf
Ag 107.87 Ag.upf
Ru 101.07 Ru.upf
ATOMIC_POSITIONS crystal
Re 0.000 0.000 0.000
Ag 0.000 0.500 0.500
Ag 0.500 0.000 0.500
Ru 0.500 0.500 0.000
CELL_PARAMETERS angstrom
2.836 0.000 0.000
0.000 4.563 0.000
0.000 0.000 4.969

---

Entry 7:
! K2CeTlSe4 | Alexandria | PBE-GGA | relaxed; values from VASP
! Uncorrected energy ... -33.78 eV/f.u.
! ΔE_f (raw) ... -1169 meV/atom
! SG ... No. 10
! Volume ... 253 Å³/cell
! M_tot ... 0.2 μB/f.u.
! DOS(E_F) ... 5.46 states/eV per cell
&SYSTEM
  ibrav = 0, nat = 8, ntyp = 4
/
ATOMIC_SPECIES
K 39.10 K.upf
Ce 140.12 Ce.upf
Tl 204.38 Tl.upf
Se 78.96 Se.upf
ATOMIC_POSITIONS crystal
K 0.000 0.000 0.000
K 0.500 0.500 0.000
Ce 0.000 0.500 0.500
Tl 0.500 0.000 0.500
Se 0.217 0.000 0.709
Se 0.245 0.500 0.293
Se 0.755 0.500 0.707
Se 0.783 0.000 0.291
CELL_PARAMETERS angstrom
7.631 0.000 0.000
0.000 4.327 0.000
-2.552 0.000 7.650

---

Entry 8:
! LiZnCl2 | Alexandria | PBE-GGA | relaxed; values from VASP
! Uncorrected energy ... -10.43 eV/f.u.
! ΔE_f (raw) ... -887 meV/atom
! SG ... No. 10
! Volume ... 89 Å³/cell
! M_tot ... 0.0 μB/f.u.
! DOS(E_F) ... 1.69 states/eV per cell
&SYSTEM
  ibrav = 0, nat = 4, ntyp = 3
/
ATOMIC_SPECIES
Li 6.94 Li.upf
Zn 65.41 Zn.upf
Cl 35.45 Cl.upf
ATOMIC_POSITIONS crystal
Li 0.000 0.000 0.000
Zn 0.000 0.000 0.500
Cl 0.145 0.500 0.783
Cl 0.855 0.500 0.217
CELL_PARAMETERS angstrom
3.534 0.000 0.000
0.000 3.543 0.000
-1.594 0.000 7.070